VASP calculation (SCAN) on a PBEsol-optimized structure of LiMnHg3.

Properties
Crystal system: cubic
Calculated formation energy (eV per atom): 0.13

Cell: 5.091 5.091 5.091 Å, 90.00 90.00 90.00°
Last column: magnetic moment on the atom in μB.
Sites, in units of the cell vectors:
Mn 0.000 0.000 0.000  3.82
Hg 0.000 0.500 0.000  -0.01
Hg 0.000 0.000 0.500  -0.01
Hg 0.500 0.000 0.000  -0.01
Li 0.500 0.500 0.500  -0.01

VASP calculation (SCAN) on a PBEsol-optimized structure of LiMnHg.

Properties
Crystal system: trigonal
Calculated formation energy (eV per atom): -0.16

Cell: 2.786 4.464 4.464 Å, 120.00 90.00 90.00°
Last column: magnetic moment on the atom in μB.
Sites, in units of the cell vectors:
Hg 0.949 0.000 0.000  -0.05
Li 0.679 0.667 0.333  -0.02
Mn 0.372 0.333 0.667  4.10

VASP calculation (SCAN) on a PBEsol-optimized structure of Li4HgMo.

Properties
Crystal system: cubic
Calculated formation energy (eV per atom): 0.28

Cell: 5.000 5.000 5.000 Å, 60.00 60.00 60.00°
Last column: magnetic moment on the atom in μB.
Sites, in units of the cell vectors:
Hg 0.000 0.000 0.000  -0.05
Li 0.873 0.376 0.376  -0.02
Li 0.376 0.376 0.376  -0.02
Li 0.376 0.376 0.873  -0.02
Li 0.376 0.873 0.376  -0.02
Mo 0.750 0.750 0.750  2.90

VASP calculation (SCAN) on a PBEsol-optimized structure of LiHg4Mo.

Properties
Crystal system: cubic
Calculated formation energy (eV per atom): 0.49

Cell: 5.662 5.662 5.662 Å, 60.00 60.00 60.00°
Last column: magnetic moment on the atom in μB.
Sites, in units of the cell vectors:
Hg 0.375 0.375 0.375  0.00
Hg 0.375 0.375 0.875  0.00
Hg 0.875 0.375 0.375  0.00
Hg 0.375 0.875 0.375  0.00
Li 0.750 0.750 0.750  0.00
Mo 0.000 0.000 0.000  3.65

VASP calculation (SCAN) on a PBEsol-optimized structure of Li2HgMo.

Properties
Crystal system: monoclinic
Calculated formation energy (eV per atom): 0.25

Cell: 2.678 4.962 5.143 Å, 97.30 90.00 105.65°
Last column: magnetic moment on the atom in μB.
Sites, in units of the cell vectors:
Hg 0.000 0.000 0.500  -0.01
Li 0.747 0.494 0.764  0.00
Li 0.253 0.506 0.236  0.00
Mo 0.500 0.000 0.000  1.02

VASP calculation (SCAN) on a PBEsol-optimized structure of LiHg3N.

Properties
Energy relative to the elements, uncorrected (eV/atom): 0.876
Crystal system: cubic

Cell: 4.938 4.938 4.938 Å, 90.00 90.00 90.00°
Last column: magnetic moment on the atom in μB.
Sites, in units of the cell vectors:
Li 0.000 0.000 0.000  -0.01
Hg 0.000 0.500 0.000  0.00
Hg 0.000 0.000 0.500  0.00
Hg 0.500 0.000 0.000  0.00
N 0.500 0.500 0.500  1.74

VASP calculation (SCAN) on a PBEsol-optimized structure of Li3HgN.

Properties
Energy relative to the elements, uncorrected (eV/atom): -0.407
Crystal system: cubic

Cell: 4.016 4.016 4.016 Å, 90.00 90.00 90.00°
Sites, in units of the cell vectors:
N 0.000 0.000 0.000
Hg 0.500 0.500 0.500
Li 0.000 0.500 0.000
Li 0.000 0.000 0.500
Li 0.500 0.000 0.000

VASP calculation (SCAN) on a PBEsol-optimized structure of NaLi2Hg2.

Properties
Crystal system: tetragonal
ΔE to the lowest computed polymorph (kJ/mol of atoms): 0.0
Calculated formation energy (eV per atom): -0.36

Cell: 3.073 8.147 8.147 Å, 90.00 90.00 90.00°
Sites, in units of the cell vectors:
Na 0.000 0.000 0.000
Na 0.000 0.500 0.500
Hg 0.000 0.367 0.867
Hg 0.000 0.867 0.633
Hg 0.000 0.633 0.133
Hg 0.000 0.133 0.367
Li 0.500 0.162 0.662
Li 0.500 0.662 0.838
Li 0.500 0.838 0.338
Li 0.500 0.338 0.162

no.,energy (eV per cell),density (Mg/m³)
1,-224.5,8.4
2,-89.3,9.1
3,-110.9,6.1
4,-307.0,11.7
5,-106.8,7.9
6,-211.8,8.6
7,-86.7,6.0
8,-294.2,7.1